A plane-wave DFT calculation with PBE was carried out for a relaxed ZnMo2Rh2 crystal.

Geometry as POSCAR:
```
ZnMo2Rh2
1.0
-7.1102 -0.8483 2.4398
-1.9897 -2.7579 -6.7574
0.6034 -2.5617 0.8678
Mo Rh Zn
4 4 2
Direct
0.1697 0.6697 0.5000 Mo
0.3303 0.1697 0.5000 Mo
0.8303 0.3303 0.5000 Mo
0.6697 0.8303 0.5000 Mo
0.3744 0.8744 0.0000 Rh
0.1256 0.3744 0.0000 Rh
0.6256 0.1256 0.0000 Rh
0.8744 0.6256 0.0000 Rh
0.5000 0.5000 0.0000 Zn
0.0000 0.0000 0.0000 Zn
```

Computed properties:
Excess energy over the best structure of this formula in the dataset ... 0.0 meV per atom
Calculated formation energy ... 0.2 eV per formula unit
Total energy ... -7.48 eV per atom

A plane-wave DFT calculation with PBE was carried out for a relaxed Ba6InRh2 crystal.

Geometry as POSCAR:
```
Ba6InRh2
1.0
8.9515 0.4964 -3.8017
-5.0352 8.0705 -2.0840
-0.0491 -0.4964 9.7252
Ba Rh In
12 4 2
Direct
0.3229 0.6632 0.9861 Ba
0.8020 0.5659 0.7639 Ba
0.1158 0.8237 0.2920 Ba
0.3229 0.3368 0.6597 Ba
0.1980 0.4341 0.2361 Ba
0.8842 0.1763 0.7080 Ba
0.8020 0.0381 0.2361 Ba
0.1980 0.9619 0.7639 Ba
0.6771 0.6632 0.3403 Ba
0.6771 0.3368 0.0139 Ba
0.5317 0.8237 0.7080 Ba
0.4683 0.1763 0.2920 Ba
0.5000 0.1187 0.6187 Rh
0.6810 0.6810 0.0000 Rh
0.5000 0.8813 0.3813 Rh
0.3190 0.3190 0.0000 Rh
0.0000 0.5000 0.5000 In
0.0000 0.0000 0.0000 In
```

Computed properties:
Calculated formation energy ... -1.8 eV per formula unit
Total energy ... -3.42 eV per atom

A plane-wave DFT calculation with PBE was carried out for a relaxed Os2Ru4Rh3 crystal.

Geometry as POSCAR:
```
Os2Ru4Rh3
1.0
-4.1198 -2.5593 -2.0141
4.2157 -4.8033 -3.9933
1.8514 -6.6015 3.1276
Ru Rh Os
8 6 4
Direct
0.4891 0.8233 0.2090 Ru
0.3811 0.1793 0.4415 Ru
0.5109 0.1767 0.7910 Ru
0.6189 0.8207 0.5585 Ru
0.0109 0.7910 0.1767 Ru
0.1189 0.5585 0.8207 Ru
0.8811 0.4415 0.1793 Ru
0.9891 0.2090 0.8233 Ru
0.7340 0.8040 0.8953 Rh
0.2340 0.8953 0.8040 Rh
0.2660 0.1960 0.1047 Rh
0.7500 0.5013 0.4987 Rh
0.2500 0.4987 0.5013 Rh
0.7660 0.1047 0.1960 Rh
0.1380 0.8712 0.4620 Os
0.8620 0.1288 0.5380 Os
0.6380 0.4620 0.8712 Os
0.3620 0.5380 0.1288 Os
```

Computed properties:
Calculated formation energy ... 2.4 eV per formula unit
Total energy ... -8.80 eV per atom

A plane-wave DFT calculation with PBE was carried out for a relaxed IrPt4 crystal.

Geometry as POSCAR:
```
IrPt4
1.0
-1.8112 -3.5990 2.5735
-1.9190 -1.8667 -3.9610
3.9866 -2.5336 -0.7374
Pt Ir
4 1
Direct
0.5000 0.0000 0.5000 Pt
0.0000 0.5000 0.5000 Pt
0.0000 0.0000 0.0000 Pt
0.5000 0.5000 0.0000 Pt
0.5000 0.5000 0.5000 Ir
```

Computed properties:
Excess energy over the best structure of this formula in the dataset ... 1563.9 meV per atom
Calculated formation energy ... 7.9 eV per formula unit
Total energy ... -5.02 eV per atom

A plane-wave DFT calculation with PBE was carried out for a relaxed MgSn3Pt12 crystal.

Geometry as POSCAR:
```
MgSn3Pt12
1.0
-1.1312 1.2722 3.6582
3.3715 -1.5523 1.5824
7.6222 13.9956 -2.5103
Pt Sn Mg
12 3 1
Direct
0.0000 0.5000 0.1201 Pt
0.0000 0.5000 0.3736 Pt
0.5000 0.0000 0.8799 Pt
0.5000 0.5000 0.7515 Pt
0.0000 0.5000 0.6264 Pt
0.5000 0.0000 0.3736 Pt
0.5000 0.0000 0.1201 Pt
0.0000 0.5000 0.8799 Pt
0.5000 0.5000 0.5000 Pt
0.5000 0.0000 0.6264 Pt
0.5000 0.5000 0.2485 Pt
0.5000 0.5000 0.0000 Pt
0.0000 0.0000 0.7565 Sn
0.0000 0.0000 0.2435 Sn
0.0000 0.0000 0.5000 Sn
0.0000 0.0000 0.0000 Mg
```

Computed properties:
Calculated formation energy ... -7.3 eV per formula unit
Total energy ... -5.83 eV per atom

A plane-wave DFT calculation with PBE was carried out for a relaxed Li12CdHg2 crystal.

Geometry as POSCAR:
```
Li12CdHg2
1.0
-0.5846 0.5700 5.4200
-4.2230 -3.4931 -0.0881
12.9917 -15.7837 3.0612
Li Cd Hg
24 2 4
Direct
0.0000 0.0000 0.3269 Li
0.5000 0.5000 0.3269 Li
0.2502 0.7502 0.1034 Li
0.7498 0.7502 0.8966 Li
0.3162 0.1838 0.5612 Li
0.0000 0.0000 0.6731 Li
0.7502 0.2502 0.8966 Li
0.7498 0.2498 0.1034 Li
0.0000 0.0000 0.7968 Li
0.0000 0.0000 0.2032 Li
0.8162 0.6838 0.4388 Li
0.2498 0.2502 0.1034 Li
0.1838 0.3162 0.4388 Li
0.5000 0.5000 0.2032 Li
0.5000 0.5000 0.7968 Li
0.7502 0.7498 0.1034 Li
0.6838 0.8162 0.5612 Li
0.1838 0.6838 0.5612 Li
0.8162 0.3162 0.5612 Li
0.5000 0.5000 0.6731 Li
0.2498 0.7498 0.8966 Li
0.2502 0.2498 0.8966 Li
0.6838 0.1838 0.4388 Li
0.3162 0.8162 0.4388 Li
0.0000 0.5000 0.0000 Cd
0.5000 0.0000 0.0000 Cd
0.5000 0.0000 0.2223 Hg
0.5000 0.0000 0.7777 Hg
0.0000 0.5000 0.7777 Hg
0.0000 0.5000 0.2223 Hg
```

Computed properties:
Calculated formation energy ... -0.1 eV per formula unit
Total energy ... -1.64 eV per atom